A plane-wave DFT calculation with PBE was carried out for an optimized crystal structure of CeAl4PdPt2.

abc: 4.287 4.287 9.249
angles: 76.60 76.60 60.00
Each line ends with the local moment (μB).
Positions (direct):
Ce1 0.000 0.000 0.000  0.59
Al1 0.403 0.403 0.790  0.00
Al2 0.868 0.868 0.396  0.00
Al3 0.132 0.132 0.604  0.00
Al4 0.597 0.597 0.210  0.00
Pd1 0.500 0.500 0.500  0.00
Pt1 0.764 0.764 0.708  0.00
Pt2 0.236 0.236 0.292  0.00

Results
Calculated volume   17.73 Å³/atom
Calculated formation energy   -0.862 eV/atom
Theoretical density   8.72 g cm⁻³
Total DFT energy (no corrections)   -45.08 eV/f.u.
Size of the total moment   0.671 μB/f.u.